SrCu2Ag: PBEsol geometry, meta-GGA SCAN.

Output
ΔE_f   -60 meV per atom
Excess energy over the best structure of this formula in the dataset   0.95 kJ/mol of atoms
Crystal system   monoclinic

Unit cell a=7.5414 b=4.3666 c=5.6882 alpha=90.00 beta=116.39 gamma=90.00
With the nearest neighbours (Å) after each atom.
Space group C2/m (No. 12)
Inequivalent atoms, fractional coordinates:
Sr: 0.0000 0.0000 0.0000  2 Cu 2.95
Cu: 0.1926 0.0000 0.5786  3 Ag 2.55, 3 Cu 2.63-2.65
Ag: 0.0000 0.5000 0.5000  6 Cu 2.55